# 1
! LiMg3Sn GGA-PBE relaxed; values from VASP
! offset from the most stable computed form	0.22	eV per formula unit
! volume	457.17	Å³ per cell
! calculated density	2.88	Mg/m³
! Fermi-level density of states	0.42	states/eV/atom
! E_tot	-2.250	eV/atom
&SYSTEM
  ibrav = 0, nat = 20, ntyp = 3
/
ATOMIC_SPECIES
Li 6.94 Li.upf
Mg 24.30 Mg.upf
Sn 118.71 Sn.upf
CELL_PARAMETERS angstrom
7.973 0.000 0.000
0.000 7.782 -1.601
0.000 -4.383 8.270
ATOMIC_POSITIONS crystal
Li 0.920 0.702 0.235
Li 0.580 0.702 0.735
Li 0.080 0.298 0.765
Li 0.420 0.298 0.265
Mg 0.080 0.269 0.101
Mg 0.612 0.906 0.170
Mg 0.186 0.579 0.577
Mg 0.888 0.906 0.670
Mg 0.580 0.731 0.399
Mg 0.420 0.269 0.601
Mg 0.388 0.094 0.830
Mg 0.814 0.421 0.423
Mg 0.686 0.421 0.923
Mg 0.314 0.579 0.077
Mg 0.920 0.731 0.899
Mg 0.112 0.094 0.330
Sn 0.217 0.853 0.467
Sn 0.283 0.853 0.967
Sn 0.783 0.147 0.533
Sn 0.717 0.147 0.033


# 2
! Li4Mg3Sn4 GGA-PBE relaxed; values from VASP
! volume	246.55	Å³ per cell
! calculated density	3.88	Mg/m³
! Fermi-level density of states	0.41	states/eV/atom
! E_tot	-2.749	eV/atom
&SYSTEM
  ibrav = 0, nat = 11, ntyp = 3
/
ATOMIC_SPECIES
Li 6.94 Li.upf
Mg 24.30 Mg.upf
Sn 118.71 Sn.upf
CELL_PARAMETERS angstrom
4.439 0.000 0.000
0.000 8.185 0.000
-2.220 -4.093 6.785
ATOMIC_POSITIONS crystal
Li 0.315 0.130 0.629
Li 0.685 0.501 0.371
Li 0.685 0.870 0.371
Li 0.315 0.499 0.629
Mg 0.879 0.879 0.758
Mg 0.000 0.500 0.000
Mg 0.121 0.121 0.242
Sn 0.500 0.184 0.000
Sn 0.231 0.731 0.462
Sn 0.500 0.816 0.000
Sn 0.769 0.269 0.538


# 3
! Sr2LiMg3Sn4 GGA-PBE relaxed; values from VASP
! volume	279.16	Å³ per cell
! calculated density	4.34	Mg/m³
! Fermi-level density of states	0.24	states/eV/atom
! E_tot	-3.030	eV/atom
&SYSTEM
  ibrav = 0, nat = 10, ntyp = 4
/
ATOMIC_SPECIES
Sn 118.71 Sn.upf
Mg 24.30 Mg.upf
Sr 87.62 Sr.upf
Li 6.94 Li.upf
CELL_PARAMETERS angstrom
-0.612 -0.239 4.683
1.958 -4.304 0.037
11.248 5.132 1.732
ATOMIC_POSITIONS crystal
Sn 0.500 0.000 0.635
Sn 0.000 0.000 0.000
Sn 0.500 0.500 0.000
Sn 0.000 0.500 0.365
Mg 0.000 0.500 0.143
Mg 0.500 0.000 0.857
Mg 0.000 0.000 0.500
Sr 0.000 0.500 0.741
Sr 0.500 0.000 0.259
Li 0.500 0.500 0.500


# 4
! SrLiMgSn2 GGA-PBE relaxed; values from VASP
! volume	136.37	Å³ per cell
! calculated density	4.34	Mg/m³
! Fermi-level density of states	0.31	states/eV/atom
! E_tot	-3.118	eV/atom
&SYSTEM
  ibrav = 0, nat = 5, ntyp = 4
/
ATOMIC_SPECIES
Sn 118.71 Sn.upf
Sr 87.62 Sr.upf
Li 6.94 Li.upf
Mg 24.30 Mg.upf
CELL_PARAMETERS angstrom
4.683 0.000 0.000
0.000 4.683 0.000
-2.342 -2.342 6.218
ATOMIC_POSITIONS crystal
Sn 0.385 0.385 0.771
Sn 0.615 0.615 0.229
Sr 0.000 0.000 0.000
Li 0.750 0.250 0.500
Mg 0.250 0.750 0.500


# 5
! LiMgTaSn2 GGA-PBE relaxed; values from VASP
! volume	157.46	Å³ per cell
! calculated density	4.74	Mg/m³
! Fermi-level density of states	0.67	states/eV/atom
! E_tot	-4.222	eV/atom
&SYSTEM
  ibrav = 0, nat = 5, ntyp = 4
/
ATOMIC_SPECIES
Ta 180.95 Ta.upf
Sn 118.71 Sn.upf
Mg 24.30 Mg.upf
Li 6.94 Li.upf
CELL_PARAMETERS angstrom
-4.380 -2.695 -1.534
0.014 -2.722 4.743
-3.100 3.795 2.187
ATOMIC_POSITIONS crystal
Ta 0.000 0.000 0.000
Sn 0.500 0.000 0.000
Sn 0.000 0.000 0.500
Mg 0.000 0.500 0.000
Li 0.500 0.500 0.500


# 6
! LiTbMgSn GGA-PBE relaxed; values from VASP
! volume	92.71	Å³ per cell
! calculated density	5.53	Mg/m³
! Fermi-level density of states	0.42	states/eV/atom
! E_tot	-3.334	eV/atom
&SYSTEM
  ibrav = 0, nat = 4, ntyp = 4
/
ATOMIC_SPECIES
Sn 118.71 Sn.upf
Mg 24.30 Mg.upf
Tb 158.93 Tb.upf
Li 6.94 Li.upf
CELL_PARAMETERS angstrom
-0.908 -3.503 3.565
2.774 -4.254 0.146
3.341 -0.726 3.757
ATOMIC_POSITIONS crystal
Sn 0.000 0.000 0.000
Mg 0.250 0.250 0.250
Tb 0.750 0.750 0.750
Li 0.500 0.500 0.500


# 7
! Li2ThMgSn2 GGA-PBE relaxed; values from VASP
! volume	135.99	Å³ per cell
! calculated density	6.20	Mg/m³
! Fermi-level density of states	0.22	states/eV/atom
! E_tot	-3.931	eV/atom
&SYSTEM
  ibrav = 0, nat = 6, ntyp = 4
/
ATOMIC_SPECIES
Sn 118.71 Sn.upf
Li 6.94 Li.upf
Th 232.04 Th.upf
Mg 24.30 Mg.upf
CELL_PARAMETERS angstrom
-3.888 2.557 -0.040
-0.270 -4.645 -0.019
-0.090 -0.025 7.252
ATOMIC_POSITIONS crystal
Sn 0.333 0.667 0.246
Sn 0.667 0.333 0.754
Li 0.667 0.333 0.168
Li 0.333 0.667 0.832
Th 0.000 0.000 0.500
Mg 0.000 0.000 0.000


# 8
! LiMgTiSn2 GGA-PBE relaxed; values from VASP
! volume	108.57	Å³ per cell
! calculated density	4.84	Mg/m³
! Fermi-level density of states	0.92	states/eV/atom
! E_tot	-3.518	eV/atom
&SYSTEM
  ibrav = 0, nat = 5, ntyp = 4
/
ATOMIC_SPECIES
Sn 118.71 Sn.upf
Mg 24.30 Mg.upf
Ti 47.87 Ti.upf
Li 6.94 Li.upf
CELL_PARAMETERS angstrom
4.823 0.000 0.000
0.000 4.668 0.000
0.000 0.000 4.823
ATOMIC_POSITIONS crystal
Sn 0.000 0.000 0.500
Sn 0.500 0.000 0.000
Mg 0.500 0.500 0.500
Ti 0.000 0.500 0.000
Li 0.000 0.000 0.000


# 9
! LiMgTlSn GGA-PBE relaxed; values from VASP
! volume	92.49	Å³ per cell
! calculated density	6.36	Mg/m³
! Fermi-level density of states	0.37	states/eV/atom
! E_tot	-2.677	eV/atom
&SYSTEM
  ibrav = 0, nat = 4, ntyp = 4
/
ATOMIC_SPECIES
Li 6.94 Li.upf
Sn 118.71 Sn.upf
Tl 204.38 Tl.upf
Mg 24.30 Mg.upf
CELL_PARAMETERS angstrom
5.076 0.000 0.000
2.538 4.396 0.000
2.538 1.465 4.145
ATOMIC_POSITIONS crystal
Li 0.500 0.500 0.500
Sn 0.250 0.250 0.250
Tl 0.750 0.750 0.750
Mg 0.000 0.000 0.000


# 10
! Li2TmMg2Sn2 GGA-PBE relaxed; values from VASP
! volume	153.10	Å³ per cell
! calculated density	5.09	Mg/m³
! Fermi-level density of states	0.30	states/eV/atom
! E_tot	-3.179	eV/atom
&SYSTEM
  ibrav = 0, nat = 7, ntyp = 4
/
ATOMIC_SPECIES
Li 6.94 Li.upf
Sn 118.71 Sn.upf
Mg 24.30 Mg.upf
Tm 168.93 Tm.upf
CELL_PARAMETERS angstrom
4.677 0.000 0.000
2.338 4.050 0.000
2.338 1.350 8.083
ATOMIC_POSITIONS crystal
Li 0.421 0.421 0.737
Li 0.579 0.579 0.263
Sn 0.738 0.738 0.785
Sn 0.262 0.262 0.215
Mg 0.135 0.135 0.594
Mg 0.865 0.865 0.406
Tm 0.000 0.000 0.000


# 11
! Li2TmMgSn2 GGA-PBE relaxed; values from VASP
! volume	128.51	Å³ per cell
! calculated density	5.74	Mg/m³
! Fermi-level density of states	0.26	states/eV/atom
! E_tot	-3.457	eV/atom
&SYSTEM
  ibrav = 0, nat = 6, ntyp = 4
/
ATOMIC_SPECIES
Sn 118.71 Sn.upf
Li 6.94 Li.upf
Mg 24.30 Mg.upf
Tm 168.93 Tm.upf
CELL_PARAMETERS angstrom
-3.377 1.776 -2.714
-1.061 -1.758 4.208
0.963 6.091 2.788
ATOMIC_POSITIONS crystal
Sn 0.667 0.333 0.762
Sn 0.333 0.667 0.238
Li 0.333 0.667 0.694
Li 0.667 0.333 0.306
Mg 0.000 0.000 0.500
Tm 0.000 0.000 0.000


# 12
! Li2YMg2Sn2 GGA-PBE relaxed; values from VASP
! volume	155.39	Å³ per cell
! calculated density	4.16	Mg/m³
! Fermi-level density of states	0.29	states/eV/atom
! E_tot	-3.500	eV/atom
&SYSTEM
  ibrav = 0, nat = 7, ntyp = 4
/
ATOMIC_SPECIES
Y 88.91 Y.upf
Li 6.94 Li.upf
Mg 24.30 Mg.upf
Sn 118.71 Sn.upf
CELL_PARAMETERS angstrom
-0.543 -2.369 -4.007
3.749 -1.676 -2.258
0.482 -8.329 2.118
ATOMIC_POSITIONS crystal
Y 0.000 0.000 0.000
Li 0.577 0.577 0.268
Li 0.423 0.423 0.732
Mg 0.136 0.136 0.593
Mg 0.864 0.864 0.407
Sn 0.740 0.740 0.780
Sn 0.260 0.260 0.220


| no. | calculated formation energy (eV per atom) |
| --- | --- |
| 1 | -0.109 |
| 2 | -0.163 |
| 3 | -0.423 |
| 4 | -0.479 |
| 5 | 0.452 |
| 6 | -0.299 |
| 7 | -0.456 |
| 8 | 0.364 |
| 9 | -0.207 |
| 10 | -0.394 |
| 11 | -0.474 |
| 12 | -0.431 |